The following is a DFT calculation (GGA-PBE) of crystalline B5C at its relaxed geometry.

Summary:
ΔE_f   0.480 eV/atom

Unit cell a=2.6439 b=2.6439 c=16.6043 alpha=90.00 beta=90.00 gamma=120.00
Space group P-3m1 (No. 164)
Inequivalent atoms, fractional coordinates:
B 0.0000 0.0000 0.0507 (multiplicity 2)
B 0.0000 0.0000 0.3813 (multiplicity 2)
B 0.3333 0.6667 0.1150 (multiplicity 2)
B 0.3333 0.6667 0.2159 (multiplicity 2)
B 0.3333 0.6667 0.7207 (multiplicity 2)
C 0.3333 0.6667 0.6262 (multiplicity 2)

---

The following is a DFT calculation (GGA-PBE) of crystalline Rb2Cd3Sn4Hg at its relaxed geometry.

Summary:
ΔE_f   -0.132 eV/atom

Unit cell a=4.973 b=4.973 c=12.575 alpha=90.00 beta=90.00 gamma=90.00
Space group P-4m2 (No. 115)
Inequivalent atoms, fractional coordinates:
Rb 0.000 0.500 0.246 (multiplicity 2)
Cd 0.000 0.000 0.000 (multiplicity 1)
Cd 0.000 0.500 0.639 (multiplicity 2)
Sn 0.000 0.000 0.500 (multiplicity 1)
Sn 0.000 0.500 0.869 (multiplicity 2)
Sn 0.500 0.500 0.500 (multiplicity 1)
Hg 0.500 0.500 0.000 (multiplicity 1)

---

The following is a DFT calculation (GGA-PBE) of crystalline IrPtSe2 at its relaxed geometry.

Summary:
ΔE_f (raw)   23 kJ per mole of atoms

Unit cell a=2.797 b=3.583 c=7.317 alpha=90.00 beta=90.16 gamma=90.00
Space group P2/m (No. 10)
Inequivalent atoms, fractional coordinates:
Ir 0.000 0.000 0.000 (multiplicity 1)
Pt 0.000 0.000 0.500 (multiplicity 1)
Se 0.002 0.500 0.761 (multiplicity 2)

---

The following is a DFT calculation (GGA-PBE) of crystalline Mg3Al3Ga8 at its relaxed geometry.

Summary:
ΔE_f   -0.052 eV/atom

Unit cell a=4.295 b=10.190 c=12.024 alpha=90.00 beta=90.00 gamma=90.00
Space group Immm (No. 71)
Inequivalent atoms, fractional coordinates:
Mg 0.000 0.000 0.000 (multiplicity 2)
Mg 0.000 0.000 0.288 (multiplicity 4)
Al 0.000 0.170 0.500 (multiplicity 4)
Al 0.000 0.500 0.000 (multiplicity 2)
Ga 0.000 0.292 0.149 (multiplicity 8)
Ga 0.000 0.374 0.359 (multiplicity 8)